Run P
# CuTc2Ru

Crystalline CuTc2Ru at its relaxed geometry (PBEsol, Alexandria).

Geometry as POSCAR:
```
CuTc2Ru
1.0
4.428 -1.323 0.000
4.428 1.323 0.000
-0.762 0.000 4.536
Cu Tc Ru
1 2 1
Cartesian
0.000 0.000 0.000
1.620 0.000 3.404
4.013 0.000 2.252
6.484 0.000 1.149
```

=====

Run Q
# CuTc2Ru

Crystalline CuTc2Ru at its relaxed geometry (PBEsol, Alexandria).

Geometry as POSCAR:
```
CuTc2Ru
1.0
1.336 0.771 8.656
-1.336 0.771 8.656
0.000 -1.542 8.656
Cu Tc Ru
1 2 1
Cartesian
0.000 0.000 0.000
0.000 0.000 6.472
0.000 0.000 12.956
0.000 0.000 19.465
```

=====

Run R
# CuTc2Ru

Crystalline CuTc2Ru at its relaxed geometry (PBEsol, Alexandria).

Geometry as POSCAR:
```
CuTc2Ru
1.0
2.601 -3.807 0.000
2.601 3.807 0.000
0.000 0.000 2.668
Cu Tc Ru
1 2 1
Cartesian
0.000 0.000 0.000
1.301 1.904 1.334
1.301 -1.904 1.334
2.601 0.000 0.000
```

=====

Relative energy of each structure, in eV/atom: run P 0.041; run Q 0.000; run R 0.064.